This record from Alexandria describes a relaxed structure of InRe2SeN. The functional is GGA-PBE.

Cell and atoms, written as extended XYZ:
```
5
Lattice="4.545 0.000 0.000 0.000 5.629 0.000 0.000 0.000 4.545" Properties=species:S:1:pos:R:3 pbc="T T T"
Re 0.000 0.000 2.272
Re 2.272 0.000 0.000
N 2.272 2.814 2.272
Se 0.000 0.000 0.000
In 0.000 2.814 0.000
```

Values from the calculation:
The calculated density comes out at 8.288 g/cm3. For the spin magnetization, the calculation gives 2.4 μB/cell. As for the uncorrected formation energy: 62.75 kcal/mol of atoms.

---

This record from Alexandria describes a relaxed structure of Sr2InReN. The functional is GGA-PBE.

Cell and atoms, written as extended XYZ:
```
5
Lattice="-0.094 0.549 6.092 5.429 -2.798 0.336 2.318 4.454 -0.366" Properties=species:S:1:pos:R:3 pbc="T T T"
Re 1.159 2.227 -0.183
N 3.827 1.103 3.031
Sr 2.715 -1.399 0.168
Sr -0.047 0.275 3.046
In 0.000 0.000 0.000
```

Values from the calculation:
The calculated density comes out at 4.321 g/cm3. Its relative energy among the computed polymorphs is 2046.3 meV/atom. For the spin magnetization, the calculation gives 2.9 μB/cell. As for the uncorrected formation energy: 42.02 kcal/mol of atoms.